Entry 1:
The following is a DFT calculation (PBE) of a geometry-optimized Al2AgBr structure.

Values from the calculation:
Energy above the most stable polymorph in this dataset in meV/atom: 21
Total magnetic moment in μB/cell: 0.00
Calculated total energy in eV/atom: -2.982
N(E_F) in states/eV/atom: 0.17

Cell lengths 7.855, 7.855, 7.855 Å; angles 26.42, 26.42, 26.42 degrees
Positions (direct):
Ag (0.750, 0.750, 0.750)
Al (0.490, 0.490, 0.490)
Al (0.010, 0.010, 0.010)
Br (0.250, 0.250, 0.250)

Entry 2:
The following is a DFT calculation (PBE) of a geometry-optimized AlSnPt2 structure.

Values from the calculation:
ΔH_f (0 K) in eV per atom: -0.2785
Total magnetic moment in μB/cell: 0.00
Calculated total energy in eV/atom: -5.235
N(E_F) in states/eV/atom: 0.35

Cell lengths 5.657, 5.657, 7.292 Å; angles 67.18, 67.18, 90.00 degrees
Positions (direct):
Pt (0.375, 0.406, 0.750)
Pt (0.594, 0.125, 0.250)
Pt (0.156, 0.625, 0.250)
Pt (0.875, 0.844, 0.750)
Al (0.250, 0.750, 0.500)
Al (0.500, 0.500, 0.000)
Sn (0.750, 0.250, 0.500)
Sn (0.000, 0.000, 0.000)

Entry 3:
The following is a DFT calculation (PBE) of a geometry-optimized In2AsNCl structure.

Values from the calculation:
Total magnetic moment in μB/cell: 0.00
Calculated total energy in eV/atom: -3.038
N(E_F) in states/eV/atom: 0.86

Cell lengths 5.762, 3.614, 5.762 Å; angles 90.00, 90.00, 90.00 degrees
Positions (direct):
N (0.000, 0.500, 0.000)
Cl (0.000, 0.000, 0.000)
As (0.500, 0.500, 0.500)
In (0.500, 0.000, 0.000)
In (0.000, 0.000, 0.500)

For each record above, in turn, the calculated calculated volume values are 84.57; 195.11; 119.95 Å³ per cell.